Computed, not measured: a crystal of LiMg2Al relaxed with PBEsol at the SCAN level of DFT.

Cell lengths 3.6927, 4.5242, 5.4153 Å; angles 114.69, 109.93, 90.00 degrees
Positions (direct):
Li  0.2430  0.7430  0.4860
Mg  0.7549  0.2549  0.5097
Mg  0.9931  0.9931  0.9862
Al  0.5091  0.5091  0.0181

The symmetry is Imm2, No. 44. The calculation puts the total energy at -5.047 eV/atom. The calculation puts the formation energy at -0.025 eV per atom.